1.
# KMgTl6 (PBE-GGA, relaxed)
# Symmetry ... No. 166
data_KMgTl6
_chemical_formula_sum 'K1 Mg1 Tl6'
_space_group_name_H-M_alt 'P 1'
_space_group_IT_number 1
_space_group_name_Hall 'P 1'
_cell_length_a 5.408
_cell_length_b 5.408
_cell_length_c 10.292
_cell_angle_alpha 74.77
_cell_angle_beta 74.77
_cell_angle_gamma 60.00
loop_
_atom_site_label
_atom_site_type_symbol
_atom_site_fract_x
_atom_site_fract_y
_atom_site_fract_z
K1 K 0.500 0.500 0.500
Mg1 Mg 0.000 0.000 0.000
Tl1 Tl 0.633 0.633 0.101
Tl2 Tl 0.107 0.107 0.680
Tl3 Tl 0.893 0.893 0.320
Tl4 Tl 0.367 0.367 0.899
Tl5 Tl 0.251 0.251 0.248
Tl6 Tl 0.749 0.749 0.752

---

2.
# KMgTl2 (PBE-GGA, relaxed)
# Symmetry ... No. 65
data_KMgTl2
_chemical_formula_sum 'K1 Mg1 Tl2'
_space_group_name_H-M_alt 'P 1'
_space_group_IT_number 1
_space_group_name_Hall 'P 1'
_cell_length_a 6.017
_cell_length_b 6.017
_cell_length_c 3.526
_cell_angle_alpha 90.00
_cell_angle_beta 90.00
_cell_angle_gamma 102.86
loop_
_atom_site_label
_atom_site_type_symbol
_atom_site_fract_x
_atom_site_fract_y
_atom_site_fract_z
K1 K 0.500 0.000 0.500
Mg1 Mg 0.000 0.500 0.500
Tl1 Tl 0.000 0.000 0.000
Tl2 Tl 0.500 0.500 0.000

---

Computed energy of formation from the pure elements, in the same sequence as the records: -0.029 0.059 eV per atom.
Computed uncorrected energy, in the same sequence as the records: -2.14 -1.80 eV per atom.